1.
This record from Alexandria via LeMat-Bulk describes a relaxed Tl3CuI crystal. The functional is GGA-PBE.

Values from the calculation:
For the formation energy from raw total energies, the calculation gives -0.48 eV/f.u. For the energy above the most stable polymorph in this dataset, the calculation gives 0 meV per atom. The theoretical density is 8.4 g/cm³. Its space-group type is Pm-3m, No. 221. Its crystal system is cubic. For the uncorrected energy, the calculation gives -13.23 eV for the cell shown.

Cell and atoms, written as extended XYZ:
```
5
Lattice="5.4061 0.0000 0.0000 0.0000 5.4061 0.0000 0.0000 0.0000 5.4061" Properties=species:S:1:pos:R:3 pbc="T T T"
Tl 0.0000 0.0000 2.7031
Tl 0.0000 2.7031 0.0000
Tl 2.7031 0.0000 0.0000
Cu 0.0000 0.0000 0.0000
I 2.7031 2.7031 2.7031
```


2.
This record from Alexandria via LeMat-Bulk describes a relaxed Tl3Cu5I12 crystal. The functional is GGA-PBE.

Values from the calculation:
For the formation energy from raw total energies, the calculation gives -4.44 eV/f.u. The theoretical density is 5.7 g/cm³. Its space-group type is Ia-3d, No. 230. Its crystal system is cubic. For the uncorrected energy, the calculation gives -202.47 eV for the cell shown.

Cell and atoms, written as extended XYZ:
```
80
Lattice="-8.9582 8.9582 8.9582 8.9582 -8.9582 8.9582 8.9582 8.9582 -8.9582" Properties=species:S:1:pos:R:3 pbc="T T T"
Tl 4.4791 2.2396 0.0000
Tl 8.9582 4.4791 -2.2396
Tl 2.2396 0.0000 4.4791
Tl 11.1978 0.0000 4.4791
Tl 0.0000 4.4791 2.2396
Tl 4.4791 -2.2396 8.9582
Tl 4.4791 11.1978 0.0000
Tl 8.9582 4.4791 6.7187
Tl -2.2396 8.9582 4.4791
Tl 6.7187 8.9582 4.4791
Tl 0.0000 4.4791 11.1978
Tl 4.4791 6.7187 8.9582
Cu 0.0000 0.0000 0.0000
Cu 4.4791 4.4791 -4.4791
Cu 4.4791 -4.4791 4.4791
Cu 8.9582 0.0000 0.0000
Cu 13.4373 2.2396 0.0000
Cu 8.9582 -4.4791 6.7187
Cu 6.7187 8.9582 -4.4791
Cu 6.7187 0.0000 4.4791
Cu 4.4791 6.7187 0.0000
Cu 8.9582 4.4791 2.2396
Cu -4.4791 4.4791 4.4791
Cu 0.0000 8.9582 0.0000
Cu 0.0000 0.0000 8.9582
Cu 4.4791 4.4791 4.4791
Cu 0.0000 4.4791 6.7187
Cu 4.4791 2.2396 8.9582
Cu 2.2396 8.9582 4.4791
Cu 2.2396 0.0000 13.4373
Cu 0.0000 13.4373 2.2396
Cu -4.4791 6.7187 8.9582
I 2.6191 -0.6211 0.8373
I 10.8182 5.3164 -5.1002
I 11.5774 0.6211 0.8373
I 10.8182 -3.6419 5.1002
I 8.3371 -0.8373 2.6191
I 14.0584 -1.8600 3.6419
I 0.8373 2.6191 -0.6211
I 12.6001 3.8580 -1.8600
I 5.3164 5.1002 -1.8600
I 8.1210 2.6191 0.6211
I -0.6211 0.8373 2.6191
I 5.1002 -1.8600 5.3164
I 8.3371 8.1210 -2.6191
I 5.1002 1.8600 3.6419
I 5.3164 -5.1002 10.8182
I 8.1210 -2.6191 8.3371
I 3.6419 5.1002 1.8600
I 9.7955 6.3391 0.6211
I 5.1002 10.8182 -3.6419
I 8.3371 0.8373 6.3391
I 2.6191 8.3371 -0.8373
I 10.8182 3.6419 3.8580
I 1.8600 3.6419 5.1002
I 2.6191 0.6211 8.1210
I 6.3391 8.3371 0.8373
I 7.0982 5.3164 3.8580
I -1.8600 5.3164 5.1002
I 6.3391 0.6211 9.7955
I 0.6211 8.1210 2.6191
I 3.8580 -1.8600 12.6001
I -0.8373 2.6191 8.3371
I 5.3164 3.8580 7.0982
I 0.8373 11.5774 0.6211
I 3.6419 14.0584 -1.8600
I 3.8580 7.0982 5.3164
I 0.6211 0.8373 11.5774
I 3.8580 10.8182 3.6419
I 9.5793 8.1210 6.3391
I 0.8373 6.3391 8.3371
I 3.6419 3.8580 10.8182
I -3.6419 5.1002 10.8182
I 8.1210 6.3391 9.5793
I -5.1002 10.8182 5.3164
I 0.6211 9.7955 6.3391
I -1.8600 12.6001 3.8580
I -2.6191 8.3371 8.1210
I -1.8600 3.6419 14.0584
I 6.3391 9.5793 8.1210
```


3.
This record from Alexandria via LeMat-Bulk describes a relaxed Tl3CuI4 crystal. The functional is GGA-PBE.

Values from the calculation:
For the formation energy from raw total energies, the calculation gives -4.00 eV/f.u. For the energy above the most stable polymorph in this dataset, the calculation gives 0 meV per atom. The theoretical density is 6.1 g/cm³. Its space-group type is Pmn2_1, No. 31. Its crystal system is orthorhombic. For the uncorrected energy, the calculation gives -42.79 eV for the cell shown.

Cell and atoms, written as extended XYZ:
```
16
Lattice="12.6017 0.0000 0.0000 0.0000 10.8575 0.0000 0.0000 0.0000 4.7087" Properties=species:S:1:pos:R:3 pbc="T T T"
Tl 0.0000 0.7817 0.0000
Tl 2.2988 6.7672 2.3536
Tl 4.0020 4.0904 4.7080
Tl 6.3008 10.0759 2.3543
Tl 8.5997 4.0904 4.7080
Tl 10.3028 6.7672 2.3536
Cu 0.0000 3.6011 2.3471
Cu 6.3008 7.2564 4.7014
I 0.0000 5.0676 4.7067
I 0.0000 9.0752 2.3544
I 2.2627 2.3041 2.3539
I 4.0381 8.5534 4.7082
I 6.3008 1.7823 0.0001
I 6.3008 5.7899 2.3524
I 8.5635 8.5534 4.7082
I 10.3389 2.3041 2.3539
```


4.
This record from Alexandria via LeMat-Bulk describes a relaxed Tl3Cu2I4 crystal. The functional is GGA-PBE.

Values from the calculation:
For the formation energy from raw total energies, the calculation gives -2.31 eV/f.u. The theoretical density is 6.5 g/cm³. Its space-group type is C2/c, No. 15. Its crystal system is monoclinic. For the uncorrected energy, the calculation gives -47.61 eV for the cell shown.

Cell and atoms, written as extended XYZ:
```
18
Lattice="8.2661 -5.4006 0.0000 8.2661 5.4006 0.0000 -2.0936 0.0000 7.1705" Properties=species:S:1:pos:R:3 pbc="T T T"
Tl 6.6960 5.1547 5.3779
Tl 5.2215 1.4000 2.3352
Tl 4.1747 -1.4000 5.9205
Tl 10.2640 1.4000 1.2500
Tl 9.2172 -1.4000 4.8353
Tl 7.7427 -5.1547 1.7926
Cu 1.2430 1.7589 6.9349
Cu 2.2898 -1.7589 3.3497
Cu 12.1489 1.7589 3.8209
Cu 13.1957 -1.7589 0.2356
I 1.8652 0.7841 4.4270
I 5.1154 2.4089 6.8701
I 2.9120 -0.7841 0.8417
I 8.2765 2.4089 3.8857
I 6.1622 -2.4089 3.2848
I 11.5267 0.7841 6.3289
I 9.3233 -2.4089 0.3004
I 12.5735 -0.7841 2.7436
```


5.
This record from Alexandria via LeMat-Bulk describes a relaxed TlCu2I2 crystal. The functional is GGA-PBE.

Values from the calculation:
For the formation energy from raw total energies, the calculation gives 0.25 eV/f.u. The theoretical density is 6.3 g/cm³. Its space-group type is I4/mmm, No. 139. Its crystal system is tetragonal. For the uncorrected energy, the calculation gives -26.81 eV for the cell shown.

Cell and atoms, written as extended XYZ:
```
10
Lattice="3.9430 0.0000 0.0000 0.0000 3.9430 0.0000 0.0000 0.0000 19.7193" Properties=species:S:1:pos:R:3 pbc="T T T"
Tl 0.0000 0.0000 0.0000
Tl 1.9715 1.9715 9.8597
Cu 0.0000 1.9715 4.9298
Cu 0.0000 1.9715 14.7895
Cu 1.9715 0.0000 4.9298
Cu 1.9715 0.0000 14.7895
I 0.0000 0.0000 6.7550
I 0.0000 0.0000 12.9643
I 1.9715 1.9715 3.1047
I 1.9715 1.9715 16.6146
```


6.
This record from Alexandria via LeMat-Bulk describes a relaxed Tl2CuI5 crystal. The functional is GGA-PBE.

Values from the calculation:
For the formation energy from raw total energies, the calculation gives -2.54 eV/f.u. The theoretical density is 5.8 g/cm³. Its space-group type is Cm, No. 8. Its crystal system is monoclinic. For the uncorrected energy, the calculation gives -38.24 eV for the cell shown.

Cell and atoms, written as extended XYZ:
```
16
Lattice="12.3255 0.0000 0.0000 0.0000 8.3738 0.0000 -5.6855 0.0000 6.1472" Properties=species:S:1:pos:R:3 pbc="T T T"
Tl 0.0000 0.0000 0.0000
Tl -2.8440 4.1869 3.0750
Tl 3.3188 0.0000 3.0750
Tl 6.1627 4.1869 0.0000
Cu -1.4708 0.0000 4.3513
Cu 4.6920 4.1869 4.3513
I 0.0810 1.8363 3.2825
I -2.4131 1.8372 5.9798
I 0.0810 6.5374 3.2825
I -2.4131 6.5366 5.9798
I 2.5692 4.1869 2.3846
I 6.2437 2.3506 3.2825
I 3.7496 2.3497 5.9798
I 6.2437 6.0232 3.2825
I 3.7496 6.0241 5.9798
I 8.7319 0.0000 2.3846
```


7.
This record from Alexandria via LeMat-Bulk describes a relaxed TlCuI3 crystal. The functional is GGA-PBE.

Values from the calculation:
For the formation energy from raw total energies, the calculation gives -1.42 eV/f.u. For the energy above the most stable polymorph in this dataset, the calculation gives 4 meV per atom. The theoretical density is 5.4 g/cm³. Its space-group type is C2/m, No. 12. Its crystal system is monoclinic. For the uncorrected energy, the calculation gives -25.07 eV for the cell shown.

Cell and atoms, written as extended XYZ:
```
10
Lattice="7.2472 -4.5920 0.0000 7.2472 4.5920 0.0000 -0.3574 0.0000 5.9415" Properties=species:S:1:pos:R:3 pbc="T T T"
Tl 3.0799 0.0000 1.9306
Tl 11.0572 0.0000 4.0109
Cu 7.0685 1.5346 2.9707
Cu 7.0685 -1.5346 2.9707
I 5.3705 2.7112 1.4655
I 8.7665 2.7112 4.4760
I 5.5209 0.0000 4.4388
I 8.6162 0.0000 1.5027
I 5.3705 -2.7112 1.4655
I 8.7665 -2.7112 4.4760
```


8.
This record from Alexandria via LeMat-Bulk describes a relaxed TlCuI3 crystal. The functional is GGA-PBE.

Values from the calculation:
For the formation energy from raw total energies, the calculation gives -1.19 eV/f.u. For the energy above the most stable polymorph in this dataset, the calculation gives 50 meV per atom. The theoretical density is 6.3 g/cm³. Its space-group type is Pm-3m, No. 221. Its crystal system is cubic. For the uncorrected energy, the calculation gives -12.30 eV for the cell shown.

Cell and atoms, written as extended XYZ:
```
5
Lattice="5.5429 0.0000 0.0000 0.0000 5.5429 0.0000 0.0000 0.0000 5.5429" Properties=species:S:1:pos:R:3 pbc="T T T"
Tl 0.0000 0.0000 0.0000
Cu 2.7715 2.7715 2.7715
I 0.0000 2.7715 2.7715
I 2.7715 0.0000 2.7715
I 2.7715 2.7715 0.0000
```


9.
This record from Alexandria via LeMat-Bulk describes a relaxed Tl2CuI3 crystal. The functional is GGA-PBE.

Values from the calculation:
For the formation energy from raw total energies, the calculation gives -2.85 eV/f.u. For the energy above the most stable polymorph in this dataset, the calculation gives 9 meV per atom. The theoretical density is 6.3 g/cm³. Its space-group type is Pnma, No. 62. Its crystal system is orthorhombic. For the uncorrected energy, the calculation gives -65.32 eV for the cell shown.

Cell and atoms, written as extended XYZ:
```
24
Lattice="10.0788 0.0000 0.0000 0.0000 4.6112 0.0000 0.0000 0.0000 19.3561" Properties=species:S:1:pos:R:3 pbc="T T T"
Tl 0.9625 1.1528 4.0527
Tl 2.3081 3.4584 8.8493
Tl 2.7313 1.1528 18.5273
Tl 4.0769 3.4584 13.7307
Tl 6.0019 1.1528 5.6254
Tl 7.3475 3.4584 0.8288
Tl 7.7707 1.1528 10.5069
Tl 9.1163 3.4584 15.3035
Cu 1.5264 1.1528 12.3653
Cu 3.5130 3.4584 2.6873
Cu 6.5658 1.1528 16.6689
Cu 8.5524 3.4584 6.9908
I 0.2068 3.4584 11.7265
I 1.3032 3.4584 1.2916
I 1.7444 1.1528 14.9862
I 3.2950 3.4584 5.3081
I 3.7362 1.1528 10.9697
I 4.8326 1.1528 2.0484
I 5.2462 3.4584 17.3077
I 6.3426 3.4584 8.3865
I 6.7838 1.1528 14.0480
I 8.3344 3.4584 4.3699
I 8.7756 1.1528 18.0645
I 9.8720 1.1528 7.6296
```


10.
This record from Alexandria via LeMat-Bulk describes a relaxed TmTlCuI5 crystal. The functional is GGA-PBE.

Values from the calculation:
For the formation energy from raw total energies, the calculation gives -6.80 eV/f.u. The theoretical density is 5.4 g/cm³. Its space-group type is C2/c, No. 15. Its crystal system is monoclinic. For the uncorrected energy, the calculation gives -50.97 eV for the cell shown.

Cell and atoms, written as extended XYZ:
```
16
Lattice="4.9318 -6.5508 0.0000 4.9318 6.5508 0.0000 -4.4591 0.0000 10.2196" Properties=species:S:1:pos:R:3 pbc="T T T"
Tm 0.0000 0.0000 0.0000
Tm -2.2295 0.0000 5.1098
Tl 1.5875 1.7542 7.6647
Tl 3.8170 -1.7542 2.5549
Cu 3.8170 2.5170 2.5549
Cu 1.5875 -2.5170 7.6647
I 2.0375 3.8988 3.8747
I 1.5875 5.4083 7.6647
I 2.7839 0.9672 0.6452
I 5.5965 3.8988 1.2351
I 0.5544 -0.9672 5.7550
I 4.8501 0.9672 4.4646
I -0.1920 -3.8988 8.9845
I 2.6206 -0.9672 9.5744
I 3.8170 -5.4083 2.5549
I 3.3669 -3.8988 6.3449
```


11.
This record from Alexandria via LeMat-Bulk describes a relaxed TlVCu2I8 crystal. The functional is GGA-PBE.

Values from the calculation:
For the formation energy from raw total energies, the calculation gives -3.32 eV/f.u. The theoretical density is 5.2 g/cm³. Its space-group type is C2/m, No. 12. Its crystal system is monoclinic. For the uncorrected energy, the calculation gives -35.40 eV for the cell shown.

Cell and atoms, written as extended XYZ:
```
12
Lattice="5.8124 -3.9254 0.0000 5.8124 3.9254 0.0000 -0.2989 0.0000 9.6926" Properties=species:S:1:pos:R:3 pbc="T T T"
Tl 0.0000 0.0000 0.0000
V -0.1494 0.0000 4.8463
Cu 3.9700 0.0000 6.9565
Cu 7.3559 0.0000 2.7360
I 2.5868 0.0000 4.7869
I 5.6085 2.0053 2.8915
I 5.7174 2.0053 6.8011
I 3.0905 0.0000 9.3165
I 8.2354 0.0000 0.3761
I 5.6085 -2.0053 2.8915
I 5.7174 -2.0053 6.8011
I 8.7391 0.0000 4.9056
```


12.
This record from Alexandria via LeMat-Bulk describes a relaxed YTlCuI5 crystal. The functional is GGA-PBE.

Values from the calculation:
For the formation energy from raw total energies, the calculation gives -6.94 eV/f.u. The theoretical density is 4.9 g/cm³. Its space-group type is C2/c, No. 15. Its crystal system is monoclinic. For the uncorrected energy, the calculation gives -55.24 eV for the cell shown.

Cell and atoms, written as extended XYZ:
```
16
Lattice="4.9554 -6.5900 0.0000 4.9554 6.5900 0.0000 -4.5047 0.0000 10.2860" Properties=species:S:1:pos:R:3 pbc="T T T"
Y 0.0000 0.0000 0.0000
Y -2.2524 0.0000 5.1430
Tl 1.5768 1.7356 7.7145
Tl 3.8292 -1.7356 2.5715
Cu 3.8292 2.5099 2.5715
Cu 1.5768 -2.5099 7.7145
I 2.0359 3.9248 3.8504
I 1.5768 5.3952 7.7145
I 2.8237 0.9805 0.6426
I 5.6225 3.9248 1.2926
I 0.5714 -0.9805 5.7856
I 4.8347 0.9805 4.5004
I -0.2165 -3.9248 8.9934
I 2.5823 -0.9805 9.6434
I 3.8292 -5.3952 2.5715
I 3.3702 -3.9248 6.4356
```